[1]
The following is a PBE-GGA calculation of crystalline La2Pb2O at its relaxed geometry, from the Alexandria database.

The structure belongs to space group I4/mmm (No. 139); the cell edges are 4.159, 4.159 and 16.890 Å and the angles 90.00°, 90.00° and 90.00°. The asymmetric unit holds La at (0.000, 0.000, 0.094), Pb at (0.000, 0.500, 0.250) and O at (0.000, 0.000, 0.500).

For the total energy, the calculation gives -48.617 eV for the cell shown. Its magnetization is 0.00 μB per atom. The value obtained for the density of states at the Fermi level is 0.449 states/eV/atom.



[2]
The following is a PBE-GGA calculation of crystalline Li2HfIn at its relaxed geometry, from the Alexandria database.

The structure belongs to space group R-3m (No. 166, hexagonal axes); the cell edges are 3.0214, 3.0214 and 32.6622 Å and the angles 90.00°, 90.00° and 120.00°. The asymmetric unit holds Li at (0.0000, 0.0000, 0.0889), Hf at (0.0000, 0.0000, 0.0000) and In at (0.0000, 0.0000, 0.5000).

The value obtained for the energy of formation is 71 kJ/mol of formula units. For the total energy, the calculation gives -47.338 eV for the cell shown. Its magnetization is 0.00 μB per atom. The value obtained for the density of states at the Fermi level is 0.885 states/eV/atom.



[3]
The following is a PBE-GGA calculation of crystalline Cs2LiBeSb2 at its relaxed geometry, from the Alexandria database.

The structure belongs to space group Ibam (No. 72); the cell edges are 6.907, 17.378 and 6.803 Å and the angles 90.00°, 90.00° and 90.00°. The asymmetric unit holds Cs at (0.233, 0.165, 0.000), Li at (0.000, 0.000, 0.250), Be at (0.000, 0.500, 0.250) and Sb at (0.211, 0.427, 0.000).

For the total energy, the calculation gives -69.549 eV for the cell shown. Its magnetization is 0.00 μB per atom. The value obtained for the density of states at the Fermi level is 0.595 states/eV/atom.



[4]
The following is a PBE-GGA calculation of crystalline ZrScSb2 at its relaxed geometry, from the Alexandria database.

The structure belongs to space group Fm-3m (No. 225); the cell edges are 7.194, 7.194 and 7.194 Å and the angles 90.00°, 90.00° and 90.00°. The asymmetric unit holds Zr at (0.000, 0.000, 0.000), Sc at (0.000, 0.000, 0.500) and Sb at (0.250, 0.250, 0.250).

For the total energy, the calculation gives -100.947 eV for the cell shown. Its magnetization is 0.23 μB per atom. The value obtained for the density of states at the Fermi level is 1.161 states/eV/atom.



[5]
The following is a PBE-GGA calculation of crystalline BeCdW2 at its relaxed geometry, from the Alexandria database.

The structure belongs to space group I4/mmm (No. 139); the cell edges are 3.782, 3.782 and 8.717 Å and the angles 90.00°, 90.00° and 90.00°. The asymmetric unit holds Be at (0.000, 0.000, 0.000), Cd at (0.000, 0.000, 0.500) and W at (0.000, 0.500, 0.250).

The value obtained for the energy of formation is 235 kJ/mol of formula units. For the total energy, the calculation gives -56.233 eV for the cell shown. Its magnetization is 0.00 μB per atom. The value obtained for the density of states at the Fermi level is 0.613 states/eV/atom.



[6]
The following is a PBE-GGA calculation of crystalline Nb6Ru2W at its relaxed geometry, from the Alexandria database.

The structure belongs to space group C2/m (No. 12); the cell edges are 13.764, 2.848 and 9.392 Å and the angles 90.00°, 119.43° and 90.00°. The asymmetric unit holds Nb at (0.053, 0.000, 0.231), Nb at (0.158, 0.500, 0.052), Nb at (0.221, 0.000, 0.607), Ru at (0.128, 0.500, 0.767) and W at (0.000, 0.000, 0.500).

The value obtained for the energy of formation is 176 kJ/mol of formula units. For the total energy, the calculation gives -180.209 eV for the cell shown. Its magnetization is 0.00 μB per atom. The value obtained for the density of states at the Fermi level is 1.016 states/eV/atom.



[7]
The following is a PBE-GGA calculation of crystalline AcGd2Zr at its relaxed geometry, from the Alexandria database.

The structure belongs to space group P4/mmm (No. 123); the cell edges are 3.547, 3.547 and 10.329 Å and the angles 90.00°, 90.00° and 90.00°. The asymmetric unit holds Ac at (0.000, 0.000, 0.000), Gd at (0.500, 0.500, 0.285) and Zr at (0.000, 0.000, 0.500).

The value obtained for the energy of formation is 46 kJ/mol of formula units. For the total energy, the calculation gives -40.343 eV for the cell shown. Its magnetization is 3.61 μB per atom. The value obtained for the density of states at the Fermi level is 1.501 states/eV/atom.



[8]
The following is a PBE-GGA calculation of crystalline Sm2Y3HoSb6 at its relaxed geometry, from the Alexandria database.

The structure belongs to space group C2/m (No. 12); the cell edges are 7.648, 13.248 and 7.643 Å and the angles 90.00°, 109.48° and 90.00°. The asymmetric unit holds Sm at (0.000, 0.166, 0.000), Y at (0.000, 0.000, 0.500), Y at (0.000, 0.332, 0.500), Ho at (0.000, 0.500, 0.000), Sb at (0.244, 0.500, 0.746) and Sb at (0.249, 0.335, 0.252).

For the total energy, the calculation gives -144.096 eV for the cell shown. Its magnetization is 0.00 μB per atom. The value obtained for the density of states at the Fermi level is 0.184 states/eV/atom.



[9]
The following is a PBE-GGA calculation of crystalline Sc4ZnGa2Au at its relaxed geometry, from the Alexandria database.

The structure belongs to space group R-3m (No. 166, hexagonal axes); the cell edges are 4.7675, 4.7675 and 23.3843 Å and the angles 90.00°, 90.00° and 120.00°. The asymmetric unit holds Sc at (0.0000, 0.0000, 0.1251), Sc at (0.0000, 0.0000, 0.3753), Zn at (0.0000, 0.0000, 0.5000), Ga at (0.0000, 0.0000, 0.2481) and Au at (0.0000, 0.0000, 0.0000).

The value obtained for the energy of formation is -468 kJ/mol of formula units. For the total energy, the calculation gives -122.345 eV for the cell shown. Its magnetization is 0.00 μB per atom. The value obtained for the density of states at the Fermi level is 0.713 states/eV/atom.



[10]
The following is a PBE-GGA calculation of crystalline K4CrAg at its relaxed geometry, from the Alexandria database.

The structure belongs to space group F-43m (No. 216); the cell edges are 10.337, 10.337 and 10.337 Å and the angles 90.00°, 90.00° and 90.00°. The asymmetric unit holds K at (0.125, 0.125, 0.125), Cr at (0.000, 0.000, 0.500) and Ag at (0.250, 0.250, 0.750).

The value obtained for the energy of formation is 431 kJ/mol of formula units. For the total energy, the calculation gives -49.572 eV for the cell shown. Its magnetization is 0.86 μB per atom. The value obtained for the density of states at the Fermi level is 0.491 states/eV/atom.



[11]
The following is a PBE-GGA calculation of crystalline LiCu2SbPb at its relaxed geometry, from the Alexandria database.

The structure belongs to space group P4/mmm (No. 123); the cell edges are 4.652, 4.652 and 4.813 Å and the angles 90.00°, 90.00° and 90.00°. The asymmetric unit holds Li at (0.000, 0.000, 0.000), Cu at (0.000, 0.500, 0.000), Sb at (0.000, 0.000, 0.500) and Pb at (0.500, 0.500, 0.500).

For the total energy, the calculation gives -15.806 eV for the cell shown. Its magnetization is 0.00 μB per atom. The value obtained for the density of states at the Fermi level is 0.269 states/eV/atom.